No. 1
Density functional theory data (PBE) for a relaxed structure of TaSb2Mo.

```
TaSb2Mo
1.0
-0.9976 -4.1203 2.9734
1.7126 -2.5604 4.1623
-2.6686 1.6330 3.9406
Mo Sb Ta
1 2 1
Cartesian
-0.3678 -1.2815 2.5199
0.5539 -6.4950 7.2592
-1.3228 -3.9405 8.1857
-1.0789 -2.5350 5.7855
```

Output
formation energy without anion corrections	122	meV/atom
uncorrected energy	-7.61	eV/atom
SG	Cm, No. 8

***

No. 2
Density functional theory data (PBE) for a relaxed structure of BaSrGa.

```
BaSrGa
1.0
-2.4285 3.9012 -0.0091
-1.2201 -0.7470 5.3514
4.5432 2.8248 -1.4368
Sr Ba Ga
1 1 1
Cartesian
2.0562 2.5433 0.8238
-1.0331 3.2293 3.0822
-0.1285 0.2065 -0.0005
```

Output
uncorrected energy	-2.31	eV/atom
SG	P3m1, No. 156

***

No. 3
Density functional theory data (PBE) for a relaxed structure of Cr2InPt.

```
Cr2InPt
1.0
-1.9141 4.5401 -0.6070
-4.5039 0.6553 1.9824
4.3327 -1.8164 1.6042
Cr In Pt
2 1 1
Cartesian
-0.0002 0.0001 0.0000
-3.2088 2.5976 0.6877
-0.3952 2.6607 0.8425
-1.6901 0.7183 2.1371
```

Output
uncorrected energy	-6.82	eV/atom
SG	I4/mmm, No. 139

***

No. 4
Density functional theory data (PBE) for a relaxed structure of In2AgHg.

```
In2AgHg
1.0
-2.3606 -2.1944 -0.5533
2.1536 -1.9367 -1.5183
1.8793 -3.9710 7.7308
Hg Ag In
1 1 2
Cartesian
1.3059 -5.0438 4.7622
0.3663 -3.0583 0.8968
0.0466 -0.0984 0.1917
0.8930 -1.8870 3.6737
```

Output
uncorrected energy	-2.12	eV/atom
SG	P4/mmm, No. 123

***

No. 5
Density functional theory data (PBE) for a relaxed structure of Zr6Co23.

```
Zr6Co23
1.0
-7.5801 -2.6175 -1.2991
-1.2682 -7.4297 -3.0312
-3.1488 -5.8244 4.7072
Co Zr
23 6
Cartesian
-5.9985 -7.9358 0.1884
-3.7900 -1.3088 -0.6496
-2.2085 -6.6270 0.8380
-4.4241 -5.0236 -2.1652
-1.5744 -2.9122 2.3536
-5.3644 -4.2210 1.7040
-0.6341 -3.7148 -1.5156
-3.7823 -8.5891 0.8625
-5.9262 -7.0376 -2.0433
-6.8360 -6.2610 1.7005
-7.4495 -9.8555 0.2340
-6.0708 -8.8340 2.4202
-8.2147 -7.2825 -0.4857
-5.1610 -9.6106 -1.3236
-4.5475 -6.0162 0.1429
-7.6246 -12.3085 0.7003
-8.9529 -11.3472 -1.1001
-9.5167 -10.8660 1.2195
-9.8968 -13.0931 0.3109
-3.0441 -4.5244 1.4770
-4.3724 -3.5631 -0.3235
-2.4803 -5.0056 -0.8427
-2.1002 -2.7785 0.0660
-5.0845 -11.0092 1.0481
-6.9125 -4.8624 -0.6712
-4.3517 -6.7156 2.7998
-7.6453 -9.1560 -2.4230
-3.2649 -7.6433 -1.6722
-8.7321 -8.2283 2.0491
```

Output
uncorrected energy	-7.63	eV/atom
SG	Fm-3m, No. 225

***

No. 6
Density functional theory data (PBE) for a relaxed structure of RuPt.

```
RuPt
1.0
-4.2374 -0.8888 -6.3420
3.6354 -6.5944 -1.5048
-5.2721 -3.8328 4.0597
Ru Pt
8 8
Cartesian
-0.9157 -1.7641 -0.5904
-2.0422 -8.9403 1.1679
-7.4603 -5.0135 -2.1612
-1.3300 -6.9141 -5.9907
-3.8528 -7.4221 -2.4840
-3.3425 -4.1711 -3.2805
-0.8879 -5.9500 -1.7724
-3.6651 -5.0889 -0.0375
-1.9911 -3.8356 -1.2837
-2.5182 -7.1941 -0.4608
-5.0539 -5.3564 -2.0188
-2.1850 -6.2459 -3.8110
-4.9281 -9.4936 -3.1773
-3.8185 -2.4249 -4.9093
1.5185 -6.2928 -1.6300
-4.5200 -4.4207 2.1422
```

Output
uncorrected energy	-6.39	eV/atom
SG	I-43m, No. 217

***

No. 7
Density functional theory data (PBE) for a relaxed structure of Y2MnIn.

```
Y2MnIn
1.0
5.0829 0.0000 0.0000
2.5415 4.4019 0.0000
2.5415 1.4673 4.1502
In Mn Y
1 1 2
Cartesian
5.0829 2.9346 2.0751
2.5415 1.4673 1.0375
0.0000 0.0000 0.0000
7.6244 4.4019 3.1126
```

Output
uncorrected energy	-6.15	eV/atom
SG	F-43m, No. 216

***

No. 8
Density functional theory data (PBE) for a relaxed structure of KLa2Tl.

```
KLa2Tl
1.0
-3.5018 -0.4631 -1.2212
1.3052 -1.0643 -3.3366
0.2056 -11.1302 3.6307
K La Tl
1 2 1
Cartesian
-0.9441 -9.1113 0.4441
0.0141 -0.7618 0.2485
0.0887 -4.8033 1.5668
-1.0469 -3.5462 -1.3712
```

Output
uncorrected energy	-3.34	eV/atom
SG	P4/mmm, No. 123

***

For reference, total magnetic moment by record: 0.00 0.00 0.00 0.00 25.85 0.00 2.05 0.84 Bohr magnetons per cell.